No. 1
# ErMgZnPd | the Alexandria database | PBE | optimized geometry
# - N(E_F): 0.91 states/eV/atom
# - Formation energy from the elements: -0.545 eV per atom
data_ErMgZnPd
_space_group_name_H-M_alt 'F -4 3 m'
_space_group_IT_number 216
_space_group_name_Hall 'F -4 2 3'
_cell_length_a 6.757
_cell_length_b 6.757
_cell_length_c 6.757
_cell_angle_alpha 90.00
_cell_angle_beta 90.00
_cell_angle_gamma 90.00
loop_
_atom_site_label
_atom_site_fract_x
_atom_site_fract_y
_atom_site_fract_z
Er1 0.000 0.000 0.000
Mg1 0.000 0.000 0.500
Zn1 0.250 0.250 0.750
Pd1 0.250 0.250 0.250



No. 2
# Er2MgZn2Pd5 | the Alexandria database | PBE | optimized geometry
# - N(E_F): 0.35 states/eV/atom
# - Formation energy from the elements: -0.722 eV per atom
data_Er2MgZn2Pd5
_space_group_name_H-M_alt 'P 4/m b m'
_space_group_IT_number 127
_space_group_name_Hall '-P 4 2ab'
_cell_length_a 9.697
_cell_length_b 9.697
_cell_length_c 3.774
_cell_angle_alpha 90.00
_cell_angle_beta 90.00
_cell_angle_gamma 90.00
loop_
_atom_site_label
_atom_site_fract_x
_atom_site_fract_y
_atom_site_fract_z
Er1 0.176 0.324 0.000
Mg1 0.000 0.000 0.000
Zn1 0.121 0.621 0.000
Pd1 0.000 0.500 0.500
Pd2 0.069 0.795 0.500



No. 3
# Er2MgZnPd4 | the Alexandria database | PBE | optimized geometry
# - N(E_F): 0.44 states/eV/atom
# - Formation energy from the elements: -0.793 eV per atom
data_Er2MgZnPd4
_space_group_name_H-M_alt 'R -3 m'
_space_group_IT_number 166
_space_group_name_Hall '-R 3 2"'
_cell_length_a 4.6875
_cell_length_b 4.6875
_cell_length_c 23.1012
_cell_angle_alpha 90.00
_cell_angle_beta 90.00
_cell_angle_gamma 120.00
loop_
_atom_site_label
_atom_site_fract_x
_atom_site_fract_y
_atom_site_fract_z
Er1 0.0000 0.0000 0.2475
Mg1 0.0000 0.0000 0.0000
Zn1 0.0000 0.0000 0.5000
Pd1 0.0000 0.0000 0.1251
Pd2 0.0000 0.0000 0.3743



No. 4
# PmEr3Mg4 | the Alexandria database | PBE | optimized geometry
# - N(E_F): 1.20 states/eV/atom
# - Formation energy from the elements: -0.077 eV per atom
data_PmEr3Mg4
_space_group_name_H-M_alt 'P m m a'
_space_group_IT_number 51
_cell_length_a 10.708
_cell_length_b 7.583
_cell_length_c 5.354
_cell_angle_alpha 90.00
_cell_angle_beta 90.00
_cell_angle_gamma 90.00
loop_
_space_group_symop_operation_xyz
'x,y,z'
'-x,-y,-z'
'-x+1/2,-y,z'
'x+1/2,y,-z'
'x+1/2,-y,-z'
'-x+1/2,y,z'
'-x,y,-z'
'x,-y,z'
loop_
_atom_site_label
_atom_site_fract_x
_atom_site_fract_y
_atom_site_fract_z
Pm1 0.000 0.000 0.000
Er1 0.000 0.500 0.000
Er2 0.250 0.000 0.496
Er3 0.250 0.500 0.496
Mg1 0.000 0.254 0.500
Mg2 0.250 0.254 0.995



No. 5
# Pm6ErMg5 | the Alexandria database | PBE | optimized geometry
# - N(E_F): 1.13 states/eV/atom
# - Formation energy from the elements: -0.058 eV per atom
data_Pm6ErMg5
_space_group_name_H-M_alt 'P 1 2/m 1'
_space_group_IT_number 10
_cell_length_a 5.494
_cell_length_b 7.769
_cell_length_c 8.744
_cell_angle_alpha 90.00
_cell_angle_beta 108.24
_cell_angle_gamma 90.00
loop_
_space_group_symop_operation_xyz
'x,y,z'
'-x,-y,-z'
'-x,y,-z'
'x,-y,z'
loop_
_atom_site_label
_atom_site_fract_x
_atom_site_fract_y
_atom_site_fract_z
Pm1 0.000 0.240 0.000
Pm2 0.332 0.248 0.660
Er1 0.500 0.500 0.000
Mg1 0.159 0.500 0.323
Mg2 0.164 0.000 0.334
Mg3 0.500 0.000 0.000



No. 6
# Pm2ErMg | the Alexandria database | PBE | optimized geometry
# - N(E_F): 1.56 states/eV/atom
# - Energy relative to the lowest polymorph listed for this composition: 11.6 kJ per mole of atoms
# - Formation energy from the elements: 0.092 eV per atom
data_Pm2ErMg
_space_group_name_H-M_alt 'A m m 2'
_space_group_IT_number 38
_cell_length_a 3.539
_cell_length_b 3.471
_cell_length_c 20.471
_cell_angle_alpha 90.00
_cell_angle_beta 90.00
_cell_angle_gamma 90.00
loop_
_space_group_symop_operation_xyz
'x,y,z'
'-x,-y,z'
'-x,y,z'
'x,-y,z'
'x,y+1/2,z+1/2'
'-x,-y+1/2,z+1/2'
'-x,y+1/2,z+1/2'
'x,-y+1/2,z+1/2'
loop_
_atom_site_label
_atom_site_fract_x
_atom_site_fract_y
_atom_site_fract_z
Pm1 0.000 0.000 0.000
Pm2 0.000 0.000 0.230
Er1 0.500 0.000 0.852
Mg1 0.500 0.000 0.614



No. 7
# Pm4ErMg7 | the Alexandria database | PBE | optimized geometry
# - N(E_F): 1.16 states/eV/atom
# - Formation energy from the elements: 0.126 eV per atom
data_Pm4ErMg7
_space_group_name_H-M_alt 'C 1 2/m 1'
_space_group_IT_number 12
_cell_length_a 11.487
_cell_length_b 5.723
_cell_length_c 11.638
_cell_angle_alpha 90.00
_cell_angle_beta 114.45
_cell_angle_gamma 90.00
loop_
_space_group_symop_operation_xyz
'x,y,z'
'-x,-y,-z'
'-x,y,-z'
'x,-y,z'
'x+1/2,y+1/2,z'
'-x+1/2,-y+1/2,-z'
'-x+1/2,y+1/2,-z'
'x+1/2,-y+1/2,z'
loop_
_atom_site_label
_atom_site_fract_x
_atom_site_fract_y
_atom_site_fract_z
Pm1 0.064 0.000 0.339
Pm2 0.159 0.500 0.781
Er1 0.000 0.500 0.000
Mg1 0.000 0.000 0.000
Mg2 0.128 0.500 0.501
Mg3 0.203 0.000 0.923
Mg4 0.236 0.500 0.311



No. 8
# Pm5Er12Mg2 | the Alexandria database | PBE | optimized geometry
# - N(E_F): 1.43 states/eV/atom
# - Formation energy from the elements: 0.094 eV per atom
data_Pm5Er12Mg2
_space_group_name_H-M_alt 'C 1 2/m 1'
_space_group_IT_number 12
_cell_length_a 15.478
_cell_length_b 9.206
_cell_length_c 8.377
_cell_angle_alpha 90.00
_cell_angle_beta 91.52
_cell_angle_gamma 90.00
loop_
_space_group_symop_operation_xyz
'x,y,z'
'-x,-y,-z'
'-x,y,-z'
'x,-y,z'
'x+1/2,y+1/2,z'
'-x+1/2,-y+1/2,-z'
'-x+1/2,y+1/2,-z'
'x+1/2,-y+1/2,z'
loop_
_atom_site_label
_atom_site_fract_x
_atom_site_fract_y
_atom_site_fract_z
Pm1 0.000 0.000 0.000
Pm2 0.206 0.500 0.518
Pm3 0.234 0.000 0.074
Er1 0.057 0.500 0.833
Er2 0.077 0.000 0.379
Er3 0.127 0.309 0.174
Er4 0.146 0.181 0.739
Mg1 0.000 0.332 0.500



> Look up the formation energy from the elements of the seventh one.

0.126 eV per atom



Copy entry 2 word for word.
# Er2MgZn2Pd5 | the Alexandria database | PBE | optimized geometry
# - N(E_F): 0.35 states/eV/atom
# - Formation energy from the elements: -0.722 eV per atom
data_Er2MgZn2Pd5
_space_group_name_H-M_alt 'P 4/m b m'
_space_group_IT_number 127
_space_group_name_Hall '-P 4 2ab'
_cell_length_a 9.697
_cell_length_b 9.697
_cell_length_c 3.774
_cell_angle_alpha 90.00
_cell_angle_beta 90.00
_cell_angle_gamma 90.00
loop_
_atom_site_label
_atom_site_fract_x
_atom_site_fract_y
_atom_site_fract_z
Er1 0.176 0.324 0.000
Mg1 0.000 0.000 0.000
Zn1 0.121 0.621 0.000
Pd1 0.000 0.500 0.500
Pd2 0.069 0.795 0.500